Entry 1:
VASP calculation (PBE-GGA) on a relaxed TaBiS2Cl crystal.

Geometry as POSCAR:
```
TaBiS2Cl
1.0
5.321 0.000 0.000
0.000 5.321 0.000
0.000 0.000 5.106
S Cl Bi Ta
2 1 1 1
direct
0.000 0.500 0.000
0.500 0.000 0.000
0.000 0.000 0.500
0.000 0.000 0.000
0.500 0.500 0.500
```

Energy relative to the elements, uncorrected   1.025 eV/atom

---

Entry 2:
VASP calculation (PBE-GGA) on a relaxed UTi2As4 crystal.

Geometry as POSCAR:
```
UTi2As4
1.0
3.786 0.000 0.000
-1.893 5.939 0.000
0.000 0.000 12.450
U Ti As
2 4 8
direct
0.612 0.224 0.750
0.388 0.776 0.250
0.133 0.265 0.443
0.867 0.735 0.943
0.133 0.265 0.057
0.867 0.735 0.557
0.766 0.531 0.125
0.766 0.531 0.375
0.234 0.469 0.875
0.234 0.469 0.625
0.934 0.867 0.750
0.066 0.133 0.250
0.500 0.000 0.000
0.500 0.000 0.500
```

Energy of formation from the pure elements   -4.81 eV/f.u.

---

Entry 3:
VASP calculation (PBE-GGA) on a relaxed AlCoPt2 crystal.

Geometry as POSCAR:
```
AlCoPt2
1.0
-3.730 6.584 4.252
-5.471 6.403 2.103
-5.826 4.772 4.316
Co Al Pt
1 1 2
direct
0.755 0.755 0.755
0.496 0.496 0.496
0.006 0.006 0.006
0.243 0.243 0.243
```

Energy of formation from the pure elements   -1.34 eV/f.u.

---

Entry 4:
VASP calculation (PBE-GGA) on a relaxed ReOs2Se crystal.

Geometry as POSCAR:
```
ReOs2Se
1.0
-4.601 2.815 1.688
-3.274 -3.725 -2.711
-4.164 -3.496 3.941
Re Os Se
2 4 2
direct
0.000 0.000 0.000
0.750 0.250 0.500
0.625 0.125 0.250
0.125 0.625 0.250
0.375 0.375 0.750
0.875 0.875 0.750
0.500 0.500 0.000
0.250 0.750 0.500
```

Energy relative to the elements, uncorrected   0.933 eV/atom

---

Entry 5:
VASP calculation (PBE-GGA) on a relaxed Mg2AsRh crystal.

Geometry as POSCAR:
```
Mg2AsRh
1.0
-0.350 4.348 1.241
-1.677 1.067 4.076
2.734 1.669 3.211
As Mg Rh
1 2 1
direct
0.500 0.500 0.500
0.000 0.000 0.000
0.250 0.250 0.250
0.750 0.750 0.750
```

Energy of formation from the pure elements   -1.16 eV/f.u.

---

Entry 6:
VASP calculation (PBE-GGA) on a relaxed LaAl3Si3 crystal.

Geometry as POSCAR:
```
LaAl3Si3
1.0
-5.611 -2.687 -2.944
-2.496 -1.595 6.213
-3.108 6.132 0.326
Si Al La
6 6 2
direct
0.250 0.000 0.500
0.000 0.500 0.250
0.500 0.750 0.000
0.750 0.000 0.500
0.000 0.500 0.750
0.500 0.250 0.000
0.000 0.250 0.500
0.000 0.750 0.500
0.500 0.000 0.750
0.750 0.500 0.000
0.500 0.000 0.250
0.250 0.500 0.000
0.500 0.500 0.500
0.000 0.000 0.000
```

Energy relative to the elements, uncorrected   0.054 eV/atom

---

Number 5 is which compound? Mg2AsRh